1.
A relaxed structure of Sc3ZnO. Source: Alexandria, functional PBE.

Calculated values
* symmetry: P4mm (99)

Unit cell a=4.172 b=4.172 c=7.534 alpha=90.00 beta=90.00 gamma=90.00
Atoms (fractional coordinates):
Sc1 0.000 0.000 0.790
Sc2 0.500 0.000 0.444
Sc3 0.000 0.500 0.444
Zn1 0.000 0.000 0.165
O1 0.500 0.500 0.420

2.
A relaxed structure of ScZnO. Source: Alexandria, functional PBE.

Calculated values
* symmetry: C2/m (12)

Unit cell a=3.317 b=3.317 c=17.281 alpha=49.16 beta=49.16 gamma=59.95
Atoms (fractional coordinates):
Zn1 0.726 0.726 0.573
Zn2 0.027 0.027 0.734
Sc1 0.858 0.858 0.368
Sc2 0.895 0.895 0.939
O1 0.652 0.652 0.312
O2 0.101 0.101 0.995

3.
A relaxed structure of Sc3ZnO. Source: Alexandria, functional PBE.

Calculated values
* symmetry: Pm-3m (221)

Unit cell a=4.375 b=4.375 c=4.375 alpha=90.00 beta=90.00 gamma=90.00
Atoms (fractional coordinates):
Sc1 0.000 0.500 0.000
Sc2 0.000 0.000 0.500
Sc3 0.500 0.000 0.000
Zn1 0.500 0.500 0.500
O1 0.000 0.000 0.000

We obtain energy relative to the elements, uncorrected values of -0.60; -1.84; -1.40 eV/atom for the records listed above, in that order.
We obtain calculated density values of 2.738; 3.889; 4.287 g/cm³ for the records listed above, in that order.